No. 1
ZrB2Ru2 | GGA-PBE | optimized geometry

Results
ΔH_f (0 K): -0.231 eV per atom
Magnetization: 0.000 μB per atom

a = 6.4228 Å, b = 6.4228 Å, c = 2.9294 Å
α = 90.00°, β = 90.00°, γ = 90.00°
Sites, in units of the cell vectors:
Ru1 0.3431 0.1569 0.5000
Ru2 0.1569 0.6569 0.5000
Ru3 0.8431 0.3431 0.5000
Ru4 0.6569 0.8431 0.5000
B1 0.1092 0.3908 0.0000
B2 0.3908 0.8908 0.0000
B3 0.8908 0.6092 0.0000
B4 0.6092 0.1092 0.0000
Zr1 0.5000 0.5000 0.0000
Zr2 0.0000 0.0000 0.0000


No. 2
Er2ZnPd9 | GGA-PBE | optimized geometry

Results
ΔH_f (0 K): -0.692 eV per atom
Magnetization: 0.000 μB per atom

a = 4.0658 Å, b = 4.0658 Å, c = 11.9938 Å
α = 90.00°, β = 90.00°, γ = 90.00°
Sites, in units of the cell vectors:
Er1 0.0000 0.0000 0.3258
Er2 0.0000 0.0000 0.6742
Pd1 0.5000 0.0000 0.8452
Pd2 0.5000 0.5000 0.6713
Pd3 0.0000 0.5000 0.5000
Pd4 0.5000 0.0000 0.1548
Pd5 0.5000 0.5000 0.0000
Pd6 0.0000 0.5000 0.8452
Pd7 0.5000 0.0000 0.5000
Pd8 0.0000 0.5000 0.1548
Pd9 0.5000 0.5000 0.3287
Zn1 0.0000 0.0000 0.0000


No. 3
U3S5N | GGA-PBE | optimized geometry

Results
VASP energy: -8.21 eV/atom
Magnetization: 0.245 μB per atom

a = 7.3408 Å, b = 7.3408 Å, c = 8.5951 Å
α = 75.79°, β = 75.79°, γ = 75.46°
Site moments in Bohr magnetons follow the coordinates.
Sites, in units of the cell vectors:
S1 0.2987 0.7013 0.0000  0.02
S2 0.7626 0.7626 0.0654  -0.02
S3 0.5233 0.5233 0.6544  -0.01
S4 0.3747 0.0048 0.3700  -0.03
S5 0.7013 0.2987 0.0000  0.02
S6 0.2374 0.2374 0.9346  -0.02
S7 0.9952 0.6253 0.6300  -0.03
S8 0.4767 0.4767 0.3456  -0.01
S9 0.0048 0.3747 0.3700  -0.03
S10 0.6253 0.9952 0.6300  -0.03
U1 0.0000 0.0000 0.0000  1.63
U2 0.7309 0.7309 0.3918  1.91
U3 0.3435 0.3435 0.1633  -1.35
U4 0.2691 0.2691 0.6082  1.91
U5 0.6565 0.6565 0.8367  -1.35
U6 0.0000 0.0000 0.5000  1.67
N1 0.9259 0.9259 0.2847  -0.10
N2 0.0741 0.0741 0.7153  -0.10


No. 4
NaCd4Pd6 | GGA-PBE | optimized geometry

Results
ΔH_f (0 K): -0.102 eV per atom
Magnetization: 0.000 μB per atom

a = 7.0326 Å, b = 7.0326 Å, c = 7.0326 Å
α = 83.34°, β = 123.92°, γ = 123.92°
Sites, in units of the cell vectors:
Pd1 0.5000 0.5000 0.0000
Pd2 0.0000 0.4369 0.7440
Pd3 0.5000 0.0000 0.5000
Pd4 0.3071 0.5631 0.5631
Pd5 0.0000 0.7440 0.4369
Pd6 0.6929 0.2560 0.2560
Cd1 0.0000 0.0890 0.5554
Cd2 0.0000 0.5554 0.0890
Cd3 0.4665 0.9110 0.9110
Cd4 0.5335 0.4446 0.4446
Na1 0.0000 0.0000 0.0000


No. 5
MgZr4Cu | GGA-PBE | optimized geometry

Results
ΔH_f (0 K): -0.069 eV per atom
Energy relative to the lowest polymorph listed for this composition: 0.000 eV per atom
Magnetization: 0.000 μB per atom

a = 3.1659 Å, b = 3.1659 Å, c = 12.8110 Å
α = 90.00°, β = 90.00°, γ = 90.00°
Sites, in units of the cell vectors:
Mg1 0.0000 0.0000 0.0000
Zr1 0.0000 0.0000 0.6382
Zr2 0.5000 0.5000 0.1887
Zr3 0.5000 0.5000 0.8113
Zr4 0.0000 0.0000 0.3618
Cu1 0.5000 0.5000 0.5000


No. 6
TcMo | GGA-PBE | optimized geometry

Results
ΔH_f (0 K): 0.076 eV per atom
Energy relative to the lowest polymorph listed for this composition: 0.000 eV per atom
Magnetization: 0.000 μB per atom

a = 3.1344 Å, b = 4.4190 Å, c = 5.1816 Å
α = 115.26°, β = 107.66°, γ = 89.96°
Sites, in units of the cell vectors:
Mo1 0.7439 0.3267 0.4863
Mo2 0.0061 0.0900 0.0137
Tc1 0.2585 0.8414 0.5157
Tc2 0.4915 0.5753 0.9843


No. 7
AlCoAs | GGA-PBE | optimized geometry

Results
ΔH_f (0 K): -0.129 eV per atom
Magnetization: 0.000 μB per atom

a = 2.9985 Å, b = 2.9985 Å, c = 5.6203 Å
α = 90.00°, β = 90.00°, γ = 120.00°
Sites, in units of the cell vectors:
As1 0.6667 0.3333 0.3709
Al1 0.0000 0.0000 0.9714
Co1 0.3333 0.6667 0.6577


No. 8
BaSr3Al | GGA-PBE | optimized geometry

Results
ΔH_f (0 K): 1.032 eV per atom
Energy relative to the lowest polymorph listed for this composition: 0.972 eV per atom
Magnetization: 0.008 μB per atom

a = 6.2498 Å, b = 6.2498 Å, c = 6.2498 Å
α = 90.00°, β = 90.00°, γ = 90.00°
Sites, in units of the cell vectors:
Sr1 0.0000 0.0000 0.5000
Sr2 0.5000 0.0000 0.0000
Sr3 0.0000 0.5000 0.0000
Ba1 0.0000 0.0000 0.0000
Al1 0.5000 0.5000 0.5000


No. 9
La3FeBr3 | GGA-PBE | optimized geometry

Results
VASP energy: -5.26 eV/atom
Magnetization: 0.000 μB per atom

a = 4.2417 Å, b = 9.2637 Å, c = 11.7493 Å
α = 93.87°, β = 90.00°, γ = 90.00°
Sites, in units of the cell vectors:
La1 0.7500 0.0967 0.3947
La2 0.2500 0.9033 0.6053
La3 0.2500 0.8749 0.1633
La4 0.2500 0.3340 0.6336
La5 0.7500 0.6660 0.3664
La6 0.7500 0.1251 0.8367
Br1 0.7500 0.1172 0.1223
Br2 0.2500 0.3861 0.3727
Br3 0.7500 0.6358 0.1107
Br4 0.2500 0.3642 0.8893
Br5 0.2500 0.8828 0.8777
Br6 0.7500 0.6139 0.6273
Fe1 0.7500 0.1237 0.6450
Fe2 0.2500 0.8763 0.3550


No. 10
Rb2Co3S4 | GGA-PBE | optimized geometry

Results
VASP energy: -5.06 eV/atom
Magnetization: 0.313 μB per atom

a = 8.8420 Å, b = 8.8420 Å, c = 8.8420 Å
α = 144.74°, β = 104.78°, γ = 85.89°
Site moments in Bohr magnetons follow the coordinates.
Sites, in units of the cell vectors:
Co1 0.7500 0.2500 0.5000  0.70
Co2 0.2500 0.7500 0.5000  0.70
Co3 0.9964 0.2500 0.7464  0.81
Co4 0.5036 0.2500 0.2536  0.81
Co5 0.0036 0.7500 0.2536  0.81
Co6 0.4964 0.7500 0.7464  0.81
S1 0.9599 0.5858 0.8759  0.07
S2 0.7100 0.0841 0.1241  0.07
S3 0.2900 0.9159 0.8759  0.07
S4 0.7900 0.9142 0.3741  0.07
S5 0.0401 0.4142 0.1241  0.07
S6 0.4599 0.5841 0.3741  0.07
S7 0.5401 0.4159 0.6259  0.07
S8 0.2100 0.0858 0.6259  0.07
Rb1 0.3753 0.7462 0.1215  0.00
Rb2 0.8753 0.7538 0.6291  0.00
Rb3 0.6247 0.2538 0.8785  0.00
Rb4 0.1247 0.2462 0.3709  0.00


No. 11
Pa5Ni6 | GGA-PBE | optimized geometry

Results
ΔH_f (0 K): -0.351 eV per atom
Magnetization: 0.000 μB per atom

a = 3.4320 Å, b = 3.8931 Å, c = 15.0709 Å
α = 97.42°, β = 90.00°, γ = 90.00°
Sites, in units of the cell vectors:
Pa1 0.0000 0.6181 0.2361
Pa2 0.0000 0.0000 0.0000
Pa3 0.5000 0.1943 0.3886
Pa4 0.0000 0.3819 0.7639
Pa5 0.5000 0.8057 0.6114
Ni1 0.0000 0.7236 0.4472
Ni2 0.5000 0.5403 0.0806
Ni3 0.0000 0.2764 0.5528
Ni4 0.5000 0.9088 0.8177
Ni5 0.5000 0.0912 0.1823
Ni6 0.5000 0.4597 0.9194


No. 12
Er5RuPb2 | GGA-PBE | optimized geometry

Results
ΔH_f (0 K): -0.491 eV per atom
Energy relative to the lowest polymorph listed for this composition: 0.000 eV per atom
Magnetization: 0.000 μB per atom

a = 7.7509 Å, b = 9.0716 Å, c = 12.2445 Å
α = 90.00°, β = 90.00°, γ = 90.00°
Sites, in units of the cell vectors:
Er1 0.6483 0.7500 0.7148
Er2 0.6159 0.2500 0.6943
Er3 0.8232 0.0368 0.9300
Er4 0.3232 0.5368 0.5700
Er5 0.1768 0.5368 0.0700
Er6 0.8841 0.2500 0.1943
Er7 0.8232 0.4632 0.9300
Er8 0.3232 0.9632 0.5700
Er9 0.5451 0.7500 0.9977
Er10 0.3517 0.2500 0.2852
Er11 0.4549 0.2500 0.0023
Er12 0.8517 0.7500 0.2148
Er13 0.1483 0.2500 0.7852
Er14 0.1159 0.7500 0.8057
Er15 0.9549 0.7500 0.4977
Er16 0.0451 0.2500 0.5023
Er17 0.6768 0.0368 0.4300
Er18 0.1768 0.9632 0.0700
Er19 0.3841 0.7500 0.3057
Er20 0.6768 0.4632 0.4300
Pb1 0.5819 0.0052 0.1682
Pb2 0.0819 0.9948 0.3318
Pb3 0.4181 0.5052 0.8318
Pb4 0.4181 0.9948 0.8318
Pb5 0.5819 0.4948 0.1682
Pb6 0.0819 0.5052 0.3318
Pb7 0.9181 0.0052 0.6682
Pb8 0.9181 0.4948 0.6682
Ru1 0.9255 0.7500 0.9938
Ru2 0.0745 0.2500 0.0062
Ru3 0.4255 0.2500 0.5062
Ru4 0.5745 0.7500 0.4938


No. 13
EuCdSnPd | GGA-PBE | optimized geometry

Results
ΔH_f (0 K): -0.459 eV per atom
Magnetization: 1.738 μB per atom

a = 5.0513 Å, b = 5.0513 Å, c = 5.0513 Å
α = 60.00°, β = 60.00°, γ = 60.00°
Site moments in Bohr magnetons follow the coordinates.
Sites, in units of the cell vectors:
Pd1 0.5000 0.5000 0.5000  -0.02
Cd1 0.0000 0.0000 0.0000  0.01
Eu1 0.2500 0.2500 0.2500  6.76
Sn1 0.7500 0.7500 0.7500  -0.01


No. 14
KZrPb2 | GGA-PBE | optimized geometry

Results
ΔH_f (0 K): -0.112 eV per atom
Energy relative to the lowest polymorph listed for this composition: 0.039 eV per atom
Magnetization: 0.000 μB per atom

a = 4.4442 Å, b = 3.3288 Å, c = 8.7765 Å
α = 67.55°, β = 90.00°, γ = 90.00°
Sites, in units of the cell vectors:
Pb1 0.0000 0.9509 0.0501
Pb2 0.0000 0.5491 0.4499
K1 0.5000 0.7500 0.7500
Zr1 0.5000 0.2500 0.2500


No. 15
Sr2Ag4SnSb3 | GGA-PBE | optimized geometry

Results
VASP energy: -3.56 eV/atom
Magnetization: 0.000 μB per atom

a = 4.6538 Å, b = 4.6538 Å, c = 12.2339 Å
α = 90.00°, β = 90.00°, γ = 90.00°
Sites, in units of the cell vectors:
Ag1 0.5000 0.5000 0.0000
Ag2 0.0000 0.0000 0.0000
Ag3 0.5000 0.0000 0.6420
Ag4 0.0000 0.5000 0.3580
Sn1 0.5000 0.5000 0.5000
Sb1 0.0000 0.5000 0.1359
Sb2 0.5000 0.0000 0.8641
Sb3 0.0000 0.0000 0.5000
Sr1 0.0000 0.5000 0.7640
Sr2 0.5000 0.0000 0.2360


No. 16
ReNi12Pt3 | GGA-PBE | optimized geometry

Results
ΔH_f (0 K): -0.038 eV per atom
Magnetization: 0.333 μB per atom

a = 3.6429 Å, b = 3.6429 Å, c = 14.5827 Å
α = 90.00°, β = 90.00°, γ = 90.00°
Site moments in Bohr magnetons follow the coordinates.
Sites, in units of the cell vectors:
Ni1 0.0000 0.5000 0.6256  0.70
Ni2 0.5000 0.5000 0.5000  0.74
Ni3 0.5000 0.0000 0.6256  0.70
Ni4 0.5000 0.0000 0.3744  0.70
Ni5 0.5000 0.0000 0.1193  0.06
Ni6 0.5000 0.5000 0.7524  0.50
Ni7 0.0000 0.5000 0.8807  0.06
Ni8 0.5000 0.0000 0.8807  0.06
Ni9 0.5000 0.5000 0.0000  -0.02
Ni10 0.0000 0.5000 0.1193  0.06
Ni11 0.0000 0.5000 0.3744  0.70
Ni12 0.5000 0.5000 0.2476  0.50
Re1 0.0000 0.0000 0.0000  -0.01
Pt1 0.0000 0.0000 0.5000  0.37
Pt2 0.0000 0.0000 0.7507  0.22
Pt3 0.0000 0.0000 0.2493  0.22


No. 17
MgAl2BO6 | GGA-PBE | optimized geometry

Results
VASP energy: -7.07 eV/atom
Magnetization: 0.105 μB per atom

a = 5.2419 Å, b = 6.6819 Å, c = 6.6819 Å
α = 96.45°, β = 74.01°, γ = 74.01°
Site moments in Bohr magnetons follow the coordinates.
Sites, in units of the cell vectors:
O1 0.5599 0.5659 0.6713  0.37
O2 0.4815 0.8420 0.3259  0.03
O3 0.9815 0.3259 0.8420  0.03
O4 0.8033 0.0398 0.2027  0.05
O5 0.9401 0.3287 0.4341  0.37
O6 0.0599 0.6713 0.5659  0.37
O7 0.4401 0.4341 0.3287  0.37
O8 0.5185 0.1580 0.6741  0.03
O9 0.1967 0.9602 0.7973  0.05
O10 0.6967 0.7973 0.9602  0.05
O11 0.0185 0.6741 0.1580  0.03
O12 0.3033 0.2027 0.0398  0.05
B1 0.2500 0.1718 0.8282  0.00
B2 0.7500 0.8282 0.1718  0.00
Mg1 0.7500 0.1001 0.8999  0.00
Mg2 0.2500 0.8999 0.1001  0.00
Al1 0.6435 0.2470 0.4410  -0.01
Al2 0.1435 0.4410 0.2470  -0.01
Al3 0.8565 0.5590 0.7530  -0.01
Al4 0.3565 0.7530 0.5590  -0.01


No. 18
Tm5Mg2PdRu2 | GGA-PBE | optimized geometry

Results
ΔH_f (0 K): -0.382 eV per atom
Magnetization: 0.000 μB per atom

a = 3.6710 Å, b = 11.3080 Å, c = 11.3080 Å
α = 90.00°, β = 90.00°, γ = 90.00°
Sites, in units of the cell vectors:
Mg1 0.0000 0.8220 0.6780
Mg2 0.0000 0.3220 0.8220
Mg3 0.0000 0.6780 0.1780
Mg4 0.0000 0.1780 0.3220
Tm1 0.5000 0.0700 0.7977
Tm2 0.5000 0.2023 0.0700
Tm3 0.5000 0.5700 0.7023
Tm4 0.5000 0.9300 0.2023
Tm5 0.5000 0.5000 0.0000
Tm6 0.5000 0.2977 0.5700
Tm7 0.5000 0.7977 0.9300
Tm8 0.5000 0.4300 0.2977
Tm9 0.5000 0.0000 0.5000
Tm10 0.5000 0.7023 0.4300
Ru1 0.0000 0.3683 0.1317
Ru2 0.0000 0.8683 0.3683
Ru3 0.0000 0.1317 0.6317
Ru4 0.0000 0.6317 0.8683
Pd1 0.0000 0.5000 0.5000
Pd2 0.0000 0.0000 0.0000


No. 19
Cd3CoBr | GGA-PBE | optimized geometry

Results
Energy relative to the lowest polymorph listed for this composition: 0.897 eV per atom
Magnetization: 0.388 μB per atom

a = 5.6031 Å, b = 5.6031 Å, c = 5.6031 Å
α = 90.00°, β = 90.00°, γ = 90.00°
Site moments in Bohr magnetons follow the coordinates.
Sites, in units of the cell vectors:
Cd1 0.0000 0.0000 0.5000  0.01
Cd2 0.0000 0.5000 0.0000  0.00
Cd3 0.5000 0.0000 0.0000  -0.03
Br1 0.0000 0.0000 0.0000  -0.04
Co1 0.5000 0.5000 0.5000  2.14


No. 20
Mo2AsP | GGA-PBE | optimized geometry

Results
ΔH_f (0 K): 0.198 eV per atom
Energy relative to the lowest polymorph listed for this composition: 0.605 eV per atom
Magnetization: 0.000 μB per atom

a = 4.7295 Å, b = 4.7295 Å, c = 4.7295 Å
α = 129.78°, β = 129.78°, γ = 73.76°
Sites, in units of the cell vectors:
As1 0.7500 0.2500 0.5000
P1 0.5000 0.5000 0.0000
Mo1 0.0000 0.0000 0.0000
Mo2 0.2500 0.7500 0.5000


No. 21
In3Pd4 | GGA-PBE | optimized geometry

Results
ΔH_f (0 K): -0.503 eV per atom
Magnetization: 0.000 μB per atom

a = 5.6689 Å, b = 7.3416 Å, c = 7.3416 Å
α = 113.62°, β = 104.92°, γ = 104.92°
Sites, in units of the cell vectors:
In1 0.4777 0.7317 0.5980
In2 0.1202 0.5980 0.8663
In3 0.5223 0.2683 0.4020
In4 0.8798 0.4020 0.1337
In5 0.2540 0.1337 0.7317
In6 0.7460 0.8663 0.2683
Pd1 0.2394 0.8446 0.3030
Pd2 0.5000 0.0000 0.0000
Pd3 0.0637 0.3030 0.4584
Pd4 0.9363 0.6970 0.5416
Pd5 0.6052 0.5416 0.8446
Pd6 0.0000 0.0000 0.0000
Pd7 0.3948 0.4584 0.1554
Pd8 0.7606 0.1554 0.6970